Entry from Alexandria via LeMat-Bulk: a relaxed structure of LiPmZn (PBE).

The structure in POSCAR format:
```
LiPmZn
1.0
3.7218 0.0000 0.0000
0.0000 3.7218 0.0000
-1.8609 -1.8609 4.8273
Zn Pm Li
1 1 1
Cartesian
1.8609 1.8609 1.2480
1.8609 1.8609 4.4151
0.0000 0.0000 2.5433
```

Output
Formation enthalpy at 0 K   -0.09 eV/atom
Symmetry   No. 107



Entry from Alexandria via LeMat-Bulk: a relaxed structure of Ce2ScSi2Ru5 (PBE).

The structure in POSCAR format:
```
Ce2ScSi2Ru5
1.0
3.3151 0.0000 0.0000
0.0000 10.1509 0.0000
0.0000 0.0000 10.1509
Ce Sc Si Ru
4 2 4 10
Cartesian
0.0000 6.8459 1.7705
0.0000 3.3050 8.3804
0.0000 1.7705 3.3050
0.0000 8.3804 6.8459
0.0000 0.0000 0.0000
0.0000 5.0755 5.0755
0.0000 1.2628 6.3383
0.0000 8.8881 3.8126
0.0000 6.3383 8.8881
0.0000 3.8126 1.2628
1.6575 2.1843 0.7003
1.6575 7.9666 9.4506
1.6575 0.7003 7.9666
1.6575 7.2598 4.3751
1.6575 9.4506 2.1843
1.6575 2.8911 5.7758
1.6575 5.7758 7.2598
1.6575 4.3751 2.8911
1.6575 5.0755 0.0000
1.6575 0.0000 5.0755
```

Output
Symmetry   No. 127
Raw formation energy   -648 meV/atom



Entry from Alexandria via LeMat-Bulk: a relaxed structure of Ti6In3C (PBE).

The structure in POSCAR format:
```
Ti6In3C
1.0
6.9142 -1.1515 -0.8135
2.5209 5.1115 0.0461
2.5209 1.7517 4.8022
Ti In C
6 3 1
Cartesian
4.6841 1.4072 2.7902
7.2720 2.6116 3.6410
7.2720 4.3044 1.2447
4.6841 3.1000 0.3938
4.9959 4.3902 3.1013
6.9601 1.3214 0.9335
2.5891 1.1059 0.7813
9.3669 4.6057 3.2535
0.0000 0.0000 0.0000
5.9780 2.8558 2.0174
```

Output
Formation enthalpy at 0 K   -0.12 eV/atom
Symmetry   No. 12



Entry from Alexandria via LeMat-Bulk: a relaxed structure of YHoIr (PBE).

The structure in POSCAR format:
```
YHoIr
1.0
6.1170 0.0000 0.0000
0.0000 4.0962 0.0000
0.0000 -2.0481 3.5474
Y Ir Ho
1 1 1
Cartesian
3.4621 2.0481 1.1825
2.0228 0.0000 2.3650
0.6321 0.0000 0.0000
```

Output
Formation enthalpy at 0 K   -0.54 eV/atom
Symmetry   No. 156